# 1
Re3PdPb: optimized geometry, PBE-GGA.

abc: 4.783 4.783 4.783
angles: 90.00 90.00 90.00
Atoms (fractional coordinates):
1 Pb 0.500 0.500 0.500
2 Re 0.000 0.500 0.000
3 Re 0.000 0.000 0.500
4 Re 0.500 0.000 0.000
5 Pd 0.000 0.000 0.000

Output
Energy of formation from the pure elements (meV per atom): 2435
Total magnetization (μB per formula unit): 3.353
Density of states at the Fermi level (states/eV per cell): 8.71
Distance to the lowest polymorph of the same formula (meV/atom): 0
SG: No. 221


# 2
Ac12Nd5Sm2: optimized geometry, PBE-GGA.

abc: 7.542 10.020 11.787
angles: 102.38 90.00 112.11
Atoms (fractional coordinates):
1 Ac 0.893 0.786 0.174
2 Ac 0.063 0.609 0.881
3 Ac 0.545 0.609 0.881
4 Ac 0.069 0.639 0.413
5 Ac 0.570 0.639 0.413
6 Ac 0.438 0.875 0.682
7 Ac 0.562 0.125 0.318
8 Ac 0.931 0.361 0.587
9 Ac 0.430 0.361 0.587
10 Ac 0.937 0.391 0.119
11 Ac 0.455 0.391 0.119
12 Ac 0.107 0.214 0.826
13 Nd 0.104 0.209 0.295
14 Nd 0.374 0.747 0.159
15 Nd 0.000 0.000 0.500
16 Nd 0.626 0.253 0.841
17 Nd 0.896 0.791 0.705
18 Sm 0.733 0.000 0.000
19 Sm 0.267 0.000 0.000

Output
Energy of formation from the pure elements (meV per atom): 170
Total magnetization (μB per formula unit): 0.000
Density of states at the Fermi level (states/eV per cell): 30.19
Distance to the lowest polymorph of the same formula (meV/atom): 61
SG: No. 12


# 3
GdTmBiPb: optimized geometry, PBE-GGA.

abc: 5.484 5.484 5.484
angles: 60.00 60.00 60.00
Atoms (fractional coordinates):
1 Pb 0.250 0.250 0.250
2 Gd 0.000 0.000 0.000
3 Tm 0.500 0.500 0.500
4 Bi 0.750 0.750 0.750

Output
Energy of formation from the pure elements (meV per atom): -459
Total magnetization (μB per formula unit): 7.352
Density of states at the Fermi level (states/eV per cell): 5.16
SG: No. 216